Model w:
VASP calculation (PBE) on a geometry-optimized MgPdSO structure.

Unit cell a=4.0471 b=4.0471 c=7.5336 alpha=90.00 beta=90.00 gamma=90.00
Last column: nearest neighbours and their distance in Å.
Fractional positions:
Mg  0.7500  0.2500  0.0000  4 Pd 2.66, 4 Mg 2.86, 4 S 2.89
Mg  0.2500  0.7500  0.0000  4 Pd 2.66, 4 Mg 2.86, 4 S 2.89
O  0.2500  0.2500  0.4753  1 S 1.51
O  0.7500  0.7500  0.5247  1 S 1.51
Pd  0.7500  0.7500  0.2297  1 O 2.22
Pd  0.2500  0.2500  0.7703  1 O 2.22
S  0.2500  0.2500  0.2747  1 O 1.51
S  0.7500  0.7500  0.7253  1 O 1.51

---

Model x:
VASP calculation (PBE) on a geometry-optimized MgPdSO structure.

Unit cell a=3.7519 b=3.7519 c=8.5584 alpha=90.00 beta=90.00 gamma=90.00
Last column: nearest neighbours and their distance in Å.
Fractional positions:
Mg  0.2500  0.2500  0.4454  4 O 1.93
Mg  0.7500  0.7500  0.5546  4 O 1.93
O  0.7500  0.2500  0.5000  4 Mg 1.93
O  0.2500  0.7500  0.5000  4 Mg 1.93
Pd  0.7500  0.7500  0.1430  1 S 2.36
Pd  0.2500  0.2500  0.8570  1 S 2.36
S  0.2500  0.2500  0.1334  1 Pd 2.36
S  0.7500  0.7500  0.8666  1 Pd 2.36

---

Model y:
VASP calculation (PBE) on a geometry-optimized MgPdSO structure.

Unit cell a=6.3706 b=6.3706 c=5.4847 alpha=90.00 beta=90.00 gamma=31.26
Last column: nearest neighbours and their distance in Å.
Fractional positions:
Mg  0.1148  0.1148  0.2500  2 O 1.97
Mg  0.8852  0.8852  0.7500  2 O 1.97
O  0.0000  0.0000  0.0000  2 Mg 1.97
O  0.0000  0.0000  0.5000  2 Mg 1.97
Pd  0.4049  0.4049  0.2500  2 S 2.30, 4 O 2.49
Pd  0.5951  0.5951  0.7500  2 S 2.30, 4 O 2.49
S  0.7796  0.7796  0.2500  2 Pd 2.30
S  0.2204  0.2204  0.7500  2 Pd 2.30

---

Which of them is the most stable? Correct choice: model x.

---

Model w:
VASP calculation (PBE) on a geometry-optimized MgPdSO structure.

Unit cell a=6.0425 b=6.0425 c=6.2352 alpha=90.00 beta=90.00 gamma=32.67
Last column: nearest neighbours and their distance in Å.
Fractional positions:
Mg  0.0691  0.0691  0.1713  2 O 1.92-1.94
Mg  0.9309  0.9309  0.6713  2 O 1.92-1.94
O  0.0619  0.0619  0.4818  2 Mg 1.92-1.94
O  0.9381  0.9381  0.9818  2 Mg 1.92-1.94
Pd  0.3186  0.3186  0.0079  2 O 2.20, 2 S 2.34
Pd  0.6814  0.6814  0.5079  2 O 2.20, 2 S 2.34
S  0.3156  0.3156  0.4464  2 Pd 2.34, 2 Mg 2.58
S  0.6844  0.6844  0.9464  2 Pd 2.34, 2 Mg 2.58

---

Model x:
VASP calculation (PBE) on a geometry-optimized MgPdSO structure.

Unit cell a=3.3359 b=6.4622 c=10.8247 alpha=90.00 beta=90.00 gamma=90.00
Last column: nearest neighbours and their distance in Å.
Fractional positions:
Mg  0.2500  0.9945  0.2481  2 O 1.97
Mg  0.2500  0.4945  0.2519  2 O 1.97
Mg  0.7500  0.5055  0.7481  2 O 1.97
Mg  0.7500  0.0055  0.7519  2 O 1.97
O  0.2500  0.2466  0.1454  2 Mg 1.97, 2 Pd 2.15
O  0.2500  0.7466  0.3546  2 Mg 1.97, 2 Pd 2.15
O  0.7500  0.2534  0.6454  2 Mg 1.97, 2 Pd 2.15
O  0.7500  0.7534  0.8546  2 Mg 1.97, 2 Pd 2.15
Pd  0.7500  0.2510  0.0194  2 O 2.15, 2 S 2.30
Pd  0.7500  0.7510  0.4806  2 O 2.15, 2 S 2.30
Pd  0.2500  0.2490  0.5194  2 O 2.15, 2 S 2.30
Pd  0.2500  0.7490  0.9806  2 O 2.15, 2 S 2.30
S  0.7500  0.7445  0.1276  2 Pd 2.30
S  0.7500  0.2445  0.3724  2 Pd 2.30
S  0.2500  0.7555  0.6276  2 Pd 2.30
S  0.2500  0.2555  0.8724  2 Pd 2.30

---

Model y:
VASP calculation (PBE) on a geometry-optimized MgPdSO structure.

Unit cell a=4.5571 b=4.5571 c=6.7377 alpha=90.00 beta=90.00 gamma=90.00
Last column: nearest neighbours and their distance in Å.
Fractional positions:
Mg  0.2500  0.2500  0.1788  1 O 1.83
Mg  0.7500  0.7500  0.8212  1 O 1.83
O  0.7500  0.7500  0.0920  1 Mg 1.83
O  0.2500  0.2500  0.9080  1 Mg 1.83
Pd  0.7500  0.7500  0.3974  1 O 2.06
Pd  0.2500  0.2500  0.6026  1 O 2.06
S  0.7500  0.2500  0.5000  4 Pd 2.38
S  0.2500  0.7500  0.5000  4 Pd 2.38

---

Which of them is the most stable? Correct choice: model x.

---

Model w:
VASP calculation (PBE) on a geometry-optimized MgPdSO structure.

Unit cell a=5.7118 b=7.8290 c=5.6168 alpha=90.00 beta=90.00 gamma=90.00
Last column: nearest neighbours and their distance in Å.
Fractional positions:
Mg  0.2248  0.1742  0.0241  2 O 2.01-2.02
Mg  0.7752  0.6742  0.4759  2 O 2.01-2.02
Mg  0.2752  0.8258  0.5241  2 O 2.01-2.02
Mg  0.7248  0.3258  0.9759  2 O 2.01-2.02
O  0.4984  0.2465  0.2273  2 Mg 2.01-2.02, 2 Pd 2.09-2.11
O  0.5016  0.7465  0.2727  2 Mg 2.01-2.02, 2 Pd 2.09-2.11
O  0.0016  0.7535  0.7273  2 Mg 2.01-2.02, 2 Pd 2.09-2.11
O  0.9984  0.2535  0.7727  2 Mg 2.01-2.02, 2 Pd 2.09-2.11
Pd  0.2420  0.7333  0.0106  2 O 2.09-2.11
Pd  0.7580  0.2333  0.4894  2 O 2.09-2.11
Pd  0.2580  0.2667  0.5106  2 O 2.09-2.11
Pd  0.7420  0.7667  0.9894  2 O 2.09-2.11
S  0.9994  0.9369  0.2145  2 Pd 2.35-2.40, 2 Mg 2.50
S  0.0006  0.4369  0.2855  2 Pd 2.35-2.40, 2 Mg 2.50
S  0.5006  0.0631  0.7145  2 Pd 2.35-2.40, 2 Mg 2.50
S  0.4994  0.5631  0.7855  2 Pd 2.35-2.40, 2 Mg 2.50

---

Model x:
VASP calculation (PBE) on a geometry-optimized MgPdSO structure.

Unit cell a=3.2438 b=3.2438 c=10.4407 alpha=90.00 beta=90.00 gamma=90.00
Last column: nearest neighbours and their distance in Å.
Fractional positions:
Mg  0.7500  0.7500  0.1024  1 O 2.01
Mg  0.2500  0.2500  0.8976  1 O 2.01
O  0.2500  0.2500  0.0898  1 Mg 2.01, 1 Pd 2.18
O  0.7500  0.7500  0.9102  1 Mg 2.01, 1 Pd 2.18
Pd  0.2500  0.2500  0.2983  1 O 2.18
Pd  0.7500  0.7500  0.7017  1 O 2.18
S  0.7500  0.2500  0.5000  4 S 2.29
S  0.2500  0.7500  0.5000  4 S 2.29

---

Which of them is the most stable? Correct choice: model w.